Material: MgMnF2
Method: DFT, GGA+U
State: relaxed

Values from the calculation:
Excess energy over the best structure of this formula in the dataset (meV per atom): 242
Volume (Å³/cell): 330
Magnetic moment (Bohr magnetons per cell): 20.07

```
MgMnF2
1.0
5.9898 0.0000 0.0000
0.0000 5.9898 0.0000
0.0000 0.0000 9.2079
Mg Mn F
4 4 8
direct
0.0000 0.0000 0.0000 Mg
0.0000 0.5000 0.2500 Mg
0.5000 0.0000 0.7500 Mg
0.5000 0.5000 0.5000 Mg
0.0000 0.0000 0.5000 Mn
0.0000 0.5000 0.7500 Mn
0.5000 0.0000 0.2500 Mn
0.5000 0.5000 0.0000 Mn
0.0026 0.2500 0.1250 F
0.2500 0.5026 0.3750 F
0.2500 0.9974 0.8750 F
0.4974 0.2500 0.6250 F
0.5026 0.7500 0.6250 F
0.7500 0.0026 0.8750 F
0.7500 0.4974 0.3750 F
0.9974 0.7500 0.1250 F
```